LiCe5In6 | PBE-GGA | optimized geometry

Structure (POSCAR):
```
LiCe5In6
1.0
-1.387 4.351 3.268
1.194 -3.981 5.806
8.120 0.471 3.044
Ce In Li
5 6 1
Direct
0.652 0.182 0.635
0.000 0.500 0.000
0.648 0.665 0.671
0.352 0.335 0.329
0.348 0.818 0.365
0.852 0.070 0.321
0.852 0.609 0.321
0.500 0.219 0.000
0.148 0.391 0.679
0.148 0.930 0.679
0.500 0.781 0.000
0.000 0.000 0.000
```

Values from the calculation:
energy of formation: -0.327 eV/atom
total magnetic moment: 0.4196 μB/atom